Record 1
{"formula": "Tm2Ga3Sn3", "functional": "PBE", "state": "relaxed", "lattice": [[4.304, 0.000, 0.000], [0.000, 4.397, 0.000], [0.000, 0.000, 9.500]], "species": ["Tm", "Tm", "Ga", "Ga", "Ga", "Sn", "Sn", "Sn"], "fractional_positions": [[0.000, 0.000, 0.242], [0.000, 0.000, 0.758], [0.500, 0.000, 0.000], [0.500, 0.500, 0.233], [0.500, 0.500, 0.767], [0.000, 0.500, 0.000], [0.000, 0.500, 0.500], [0.500, 0.000, 0.500]], "delta_e_f_ev_per_atom": -0.421, "dos_ef_per_ev_atom": 0.502}

---

Record 2
{"formula": "HfCuBr2", "functional": "PBE", "state": "relaxed", "lattice": [[-3.171, 3.171, 5.004], [3.171, -3.171, 5.004], [3.171, 3.171, -5.004]], "species": ["Hf", "Hf", "Cu", "Cu", "Br", "Br", "Br", "Br"], "fractional_positions": [[0.000, 0.000, 0.000], [0.750, 0.250, 0.500], [0.250, 0.750, 0.500], [0.500, 0.500, 0.000], [0.159, 0.625, 0.034], [0.375, 0.409, 0.534], [0.591, 0.125, 0.966], [0.875, 0.841, 0.466]], "relative_energy_kj_per_mol_atoms": 18.0, "raw_formation_energy_ev_per_atom": 0.328, "dos_ef_per_ev_atom": 0.705}

---

Record 3
{"formula": "CdIn", "functional": "PBE", "state": "relaxed", "lattice": [[8.220, 0.000, 0.000], [0.000, 8.220, 0.000], [0.000, 0.000, 8.220]], "species": ["Cd", "Cd", "Cd", "Cd", "Cd", "Cd", "In", "In", "In", "In", "In", "In"], "fractional_positions": [[0.000, 0.250, 0.500], [0.000, 0.750, 0.500], [0.250, 0.500, 0.000], [0.500, 0.000, 0.250], [0.500, 0.000, 0.750], [0.750, 0.500, 0.000], [0.000, 0.500, 0.250], [0.000, 0.500, 0.750], [0.250, 0.000, 0.500], [0.500, 0.250, 0.000], [0.500, 0.750, 0.000], [0.750, 0.000, 0.500]], "delta_e_f_ev_per_atom": 0.422, "dos_ef_per_ev_atom": 0.668}

---

Record 4
{"formula": "CaAc5Tl8", "functional": "PBE", "state": "relaxed", "lattice": [[-5.009, 5.009, 4.899], [5.009, -5.009, 4.899], [5.009, 5.009, -4.899]], "species": ["Ca", "Ac", "Ac", "Ac", "Ac", "Ac", "Tl", "Tl", "Tl", "Tl", "Tl", "Tl", "Tl", "Tl"], "fractional_positions": [[0.000, 0.000, 0.000], [0.125, 0.265, 0.628], [0.250, 0.750, 0.500], [0.503, 0.875, 0.140], [0.637, 0.497, 0.372], [0.735, 0.363, 0.860], [0.049, 0.646, 0.771], [0.200, 0.439, 0.086], [0.352, 0.113, 0.914], [0.354, 0.124, 0.403], [0.561, 0.648, 0.761], [0.721, 0.951, 0.597], [0.876, 0.279, 0.229], [0.887, 0.800, 0.239]], "delta_e_f_ev_per_atom": -0.299, "dos_ef_per_ev_atom": 0.823}

---

Record 5
{"formula": "Cu2MoAu", "functional": "PBE", "state": "relaxed", "lattice": [[0.000, 3.063, 3.063], [3.063, 0.000, 3.063], [3.063, 3.063, 0.000]], "species": ["Cu", "Cu", "Mo", "Au"], "fractional_positions": [[0.250, 0.250, 0.250], [0.750, 0.750, 0.750], [0.000, 0.000, 0.000], [0.500, 0.500, 0.500]], "relative_energy_kj_per_mol_atoms": 18.1, "delta_e_f_ev_per_atom": 0.325, "dos_ef_per_ev_atom": 1.418}

---

Record 6
{"formula": "MgCo2Ag", "functional": "PBE", "state": "relaxed", "lattice": [[4.664, -1.406, 0.000], [4.664, 1.406, 0.000], [-1.034, 0.000, 4.367]], "species": ["Mg", "Co", "Co", "Ag"], "fractional_positions": [[0.000, 0.000, 0.000], [0.249, 0.249, 0.762], [0.751, 0.751, 0.238], [0.500, 0.500, 0.500]], "delta_e_f_ev_per_atom": 0.265, "dos_ef_per_ev_atom": 1.094}

---

Record 7
{"formula": "AgBiPd", "functional": "PBE", "state": "relaxed", "lattice": [[4.638, 0.000, 0.000], [-2.319, 4.017, 0.000], [0.000, 0.000, 3.396]], "species": ["Ag", "Bi", "Pd"], "fractional_positions": [[0.000, 0.000, 0.000], [0.667, 0.333, 0.404], [0.333, 0.667, 0.740]], "relative_energy_kj_per_mol_atoms": 9.0, "delta_e_f_ev_per_atom": -0.008, "dos_ef_per_ev_atom": 0.455}

---

Record 8
{"formula": "SrAl3Ag", "functional": "PBE", "state": "relaxed", "lattice": [[5.867, 0.000, 0.000], [0.000, 5.867, 0.000], [0.000, 0.000, 5.867]], "species": ["Sr", "Al", "Al", "Al", "Ag"], "fractional_positions": [[0.000, 0.000, 0.000], [0.000, 0.000, 0.500], [0.000, 0.500, 0.000], [0.500, 0.000, 0.000], [0.500, 0.500, 0.500]], "delta_e_f_ev_per_atom": 1.475, "dos_ef_per_ev_atom": 1.126}